Entry 1:
DFT (PBE) results for a relaxed ZrNp3Tl3Se8 crystal.

## Properties
Total DFT energy (no corrections), eV per atom: -6.48
Density of states at the Fermi level, states/eV/f.u.: 29.97
SG: R-3m

Lattice parameters (Å, degrees): 9.189 9.189 9.189 53.16 53.16 53.16
Positions (direct):
Zr: 0.000 0.000 0.000
Np: 0.000 0.500 0.500
Np: 0.500 0.000 0.500
Np: 0.500 0.500 0.000
Tl: 0.000 0.000 0.500
Tl: 0.000 0.500 0.000
Tl: 0.500 0.000 0.000
Se: 0.226 0.226 0.748
Se: 0.226 0.748 0.226
Se: 0.252 0.774 0.774
Se: 0.265 0.265 0.265
Se: 0.735 0.735 0.735
Se: 0.748 0.226 0.226
Se: 0.774 0.252 0.774
Se: 0.774 0.774 0.252

***

Entry 2:
DFT (PBE) results for a relaxed Tm3NpSe6 crystal.

## Properties
Total DFT energy (no corrections), eV per atom: -6.40
Density of states at the Fermi level, states/eV/f.u.: 7.14
Energy above the most stable polymorph in this dataset, eV per formula unit: 0.000
SG: P2_1/m

Lattice parameters (Å, degrees): 11.511 4.068 11.723 90.00 109.17 90.00
Positions (direct):
Tm: 0.064 0.250 0.166
Tm: 0.180 0.750 0.501
Tm: 0.343 0.250 0.917
Tm: 0.657 0.750 0.083
Tm: 0.820 0.250 0.499
Tm: 0.936 0.750 0.834
Np: 0.453 0.250 0.307
Np: 0.547 0.750 0.693
Se: 0.020 0.250 0.385
Se: 0.106 0.250 0.939
Se: 0.242 0.750 0.275
Se: 0.304 0.750 0.750
Se: 0.384 0.250 0.537
Se: 0.417 0.750 0.098
Se: 0.583 0.250 0.902
Se: 0.616 0.750 0.463
Se: 0.696 0.250 0.250
Se: 0.758 0.250 0.725
Se: 0.894 0.750 0.061
Se: 0.980 0.750 0.615

***

Entry 3:
DFT (PBE) results for a relaxed TmNp2Se4 crystal.

## Properties
Total DFT energy (no corrections), eV per atom: -7.62
Density of states at the Fermi level, states/eV/f.u.: 19.50
SG: Cmcm

Lattice parameters (Å, degrees): 7.035 7.035 13.903 90.00 90.00 147.55
Positions (direct):
Tm: 0.121 0.879 0.750
Tm: 0.879 0.121 0.250
Np: 0.365 0.635 0.569
Np: 0.365 0.635 0.931
Np: 0.635 0.365 0.069
Np: 0.635 0.365 0.431
Se: 0.000 0.000 0.000
Se: 0.000 0.000 0.500
Se: 0.282 0.718 0.126
Se: 0.282 0.718 0.374
Se: 0.470 0.530 0.750
Se: 0.530 0.470 0.250
Se: 0.718 0.282 0.626
Se: 0.718 0.282 0.874

***

no.,E_form (uncorrected) (meV/atom),calculated volume (Å³ per cell)
1,-992,461
2,-1671,519
3,-1296,369